Arrangement P

Sr2NbPd PBE-GGA optimized geometry; volume = 29.244 Å³ per atom; M_tot = 4.80 Bohr magnetons per cell
1.0
4.4381 -0.1446 3.2277
-0.2245 2.0914 5.0706
0.1193 -3.3404 4.3547
Sr Nb Pd
2 1 1
direct
0.2500 0.2500 0.2500
0.7500 0.7500 0.7500
0.0000 0.0000 0.0000
0.5000 0.5000 0.5000

=====

Arrangement Q

Sr2NbPd PBE-GGA optimized geometry; volume = 30.819 Å³ per atom; M_tot = 7.35 Bohr magnetons per cell
1.0
-6.8469 0.6027 -5.4544
-5.1781 -3.5970 6.1026
-6.6755 1.4154 1.4782
Sr Nb Pd
4 2 2
direct
0.6782 0.1250 0.2500
0.0718 0.6250 0.2500
0.3750 0.3218 0.7500
0.8750 0.9282 0.7500
0.5000 0.5000 0.0000
0.2500 0.7500 0.5000
0.0000 0.0000 0.0000
0.7500 0.2500 0.5000

=====

The most stable arrangement is arrangement P, and the next structure is 14.6 kJ/mol of atoms less stable.

=====

Arrangement P

SrNbPd2 PBE-GGA optimized geometry; volume = 23.628 Å³ per atom; M_tot = 2.07 Bohr magnetons per cell
1.0
-7.2858 -2.2274 -0.7459
0.9143 -0.4500 -7.5870
-2.2740 -4.4190 -3.8738
Sr Nb Pd
2 2 4
direct
0.5000 0.5000 0.0000
0.2500 0.7500 0.5000
0.0000 0.0000 0.0000
0.7500 0.2500 0.5000
0.6795 0.1250 0.2500
0.0705 0.6250 0.2500
0.3750 0.3205 0.7500
0.8750 0.9295 0.7500

=====

Arrangement Q

SrNbPd2 PBE-GGA optimized geometry; volume = 20.415 Å³ per atom; M_tot = 0.00 Bohr magnetons per cell
1.0
-3.8309 -1.5541 2.5738
-3.6656 3.0487 0.9919
-4.3164 -0.5927 -2.1754
Sr Nb Pd
1 1 2
direct
0.0000 0.0000 0.0000
0.5000 0.5000 0.5000
0.2500 0.2500 0.2500
0.7500 0.7500 0.7500

=====

The most stable arrangement is arrangement Q, and the next structure is 12.2 kJ/mol of atoms less stable.

=====

Arrangement P

TaNb3Pd PBE-GGA optimized geometry; volume = 22.146 Å³ per atom; M_tot = 0.00 Bohr magnetons per cell
1.0
-2.4321 0.8806 4.0458
-4.1371 -0.7068 -2.3332
0.1676 -4.6673 1.1167
Nb Pd Ta
3 1 1
direct
0.0000 0.5000 0.0000
0.0000 0.0000 0.5000
0.5000 0.0000 0.0000
0.0000 0.0000 0.0000
0.5000 0.5000 0.5000

=====

Arrangement Q

TaNb3Pd PBE-GGA optimized geometry; volume = 22.954 Å³ per atom; M_tot = 0.00 Bohr magnetons per cell
1.0
-0.4950 -4.4479 -1.8942
-0.8447 -1.7953 4.4362
-4.7601 0.7811 -0.5902
Nb Pd Ta
3 1 1
direct
0.0000 0.5000 0.0000
0.0000 0.0000 0.5000
0.5000 0.0000 0.0000
0.5000 0.5000 0.5000
0.0000 0.0000 0.0000

=====

The most stable arrangement is arrangement P, and the next structure is 8.3 kJ/mol of atoms less stable.

=====

Arrangement P

Ta3Nb2Pd PBE-GGA optimized geometry; volume = 18.016 Å³ per atom; M_tot = 0.00 Bohr magnetons per cell
1.0
-0.8289 1.8645 -1.9361
1.8061 -3.1663 -3.8225
-14.2255 -4.3531 1.8984
Ta Nb Pd
6 4 2
direct
0.7500 0.6051 0.6720
0.2500 0.3949 0.3280
0.7500 0.9081 0.3325
0.2500 0.0919 0.6675
0.2500 0.2700 0.0153
0.7500 0.7300 0.9847
0.2500 0.7462 0.4982
0.7500 0.2538 0.5018
0.7500 0.0296 0.8438
0.2500 0.9704 0.1562
0.2500 0.5028 0.8262
0.7500 0.4972 0.1738

=====

Arrangement Q

Ta3Nb2Pd PBE-GGA optimized geometry; volume = 17.783 Å³ per atom; M_tot = 0.00 Bohr magnetons per cell
1.0
3.3278 0.0000 0.0000
0.0000 3.3278 0.0000
0.0000 0.0000 9.6347
Ta Nb Pd
3 2 1
direct
0.0000 0.0000 0.0000
0.0000 0.0000 0.6668
0.0000 0.0000 0.3332
0.5000 0.5000 0.8284
0.5000 0.5000 0.1716
0.5000 0.5000 0.5000

=====

The most stable arrangement is arrangement Q, and the next structure is 14.6 kJ/mol of atoms less stable.

=====

Arrangement P

Ta3NbPd PBE-GGA optimized geometry; volume = 22.363 Å³ per atom; M_tot = 0.00 Bohr magnetons per cell
1.0
4.8176 0.0000 0.0000
0.0000 4.8176 0.0000
0.0000 0.0000 4.8176
Nb Pd Ta
1 1 3
direct
0.0000 0.0000 0.0000
0.5000 0.5000 0.5000
0.0000 0.5000 0.0000
0.0000 0.0000 0.5000
0.5000 0.0000 0.0000

=====

Arrangement Q

Ta3NbPd PBE-GGA optimized geometry; volume = 18.358 Å³ per atom; M_tot = 0.00 Bohr magnetons per cell
1.0
-3.4308 -0.0320 4.5330
-1.5349 -5.3760 -1.0307
4.1762 -1.9706 3.3159
Ta Nb Pd
6 2 2
direct
0.2675 0.9393 0.5947
0.5947 0.2675 0.9393
0.9393 0.5947 0.2675
0.7325 0.0607 0.4053
0.0607 0.4053 0.7325
0.4053 0.7325 0.0607
0.1308 0.1308 0.1308
0.8692 0.8692 0.8692
0.3808 0.3808 0.3808
0.6192 0.6192 0.6192

=====

The most stable arrangement is arrangement Q, and the next structure is 139.3 kJ/mol of atoms less stable.

=====

Arrangement P

Ta4Nb5Pd PBE-GGA optimized geometry; volume = 17.991 Å³ per atom; M_tot = 0.00 Bohr magnetons per cell
1.0
-0.3226 2.4069 2.2589
0.2871 -2.2406 2.4284
16.2162 2.1294 0.0473
Ta Nb Pd
4 5 1
direct
0.0000 0.0000 0.1964
0.0000 0.0000 0.3998
0.0000 0.0000 0.6002
0.0000 0.0000 0.8036
0.5000 0.5000 0.0993
0.5000 0.5000 0.2955
0.5000 0.5000 0.5000
0.5000 0.5000 0.7045
0.5000 0.5000 0.9007
0.0000 0.0000 0.0000

=====

Arrangement Q

Ta4Nb5Pd PBE-GGA optimized geometry; volume = 18.130 Å³ per atom; M_tot = 0.00 Bohr magnetons per cell
1.0
4.4988 -0.0048 -1.0851
-0.8947 4.1021 -3.7112
0.1574 -0.7889 10.5436
Ta Nb Pd
4 5 1
direct
0.2921 0.9333 0.5844
0.8977 0.9100 0.7959
0.7078 0.0667 0.4156
0.1023 0.0900 0.2041
0.9034 0.4147 0.8054
0.6979 0.5357 0.3959
0.3021 0.4643 0.6040
0.5000 0.5000 0.0000
0.0965 0.5853 0.1946
0.5000 0.0000 0.0000

=====

The most stable arrangement is arrangement P, and the next structure is 7.1 kJ/mol of atoms less stable.

=====

Arrangement P

TaNb2Pd PBE-GGA optimized geometry; volume = 18.741 Å³ per atom; M_tot = 0.00 Bohr magnetons per cell
1.0
3.8457 0.0000 0.0000
0.0000 3.8457 0.0000
1.9228 1.9228 10.1380
Nb Pd Ta
4 2 2
direct
0.6323 0.1250 0.2500
0.1177 0.6250 0.2500
0.3750 0.3677 0.7500
0.8750 0.8823 0.7500
0.5000 0.5000 0.0000
0.2500 0.7500 0.5000
0.0000 0.0000 0.0000
0.7500 0.2500 0.5000

=====

Arrangement Q

TaNb2Pd PBE-GGA optimized geometry; volume = 17.706 Å³ per atom; M_tot = 0.00 Bohr magnetons per cell
1.0
-2.6348 -1.0344 0.4936
-0.4313 -2.8385 0.1126
0.7576 -1.1748 9.9456
Ta Nb Pd
1 2 1
direct
0.5000 0.5000 0.4999
0.0790 0.0790 0.7631
0.2544 0.2544 0.2367
0.6666 0.6666 0.0003

=====

Arrangement R

TaNb2Pd PBE-GGA optimized geometry; volume = 17.563 Å³ per atom; M_tot = 0.00 Bohr magnetons per cell
1.0
-1.0456 1.7465 2.6356
-2.0354 -2.4961 0.8465
4.6023 -2.5587 3.5213
Ta Nb Pd
1 2 1
direct
0.0000 0.0000 0.4954
0.0000 0.0000 0.0080
0.5000 0.5000 0.2501
0.5000 0.5000 0.7465

=====

Arrangement S

TaNb2Pd PBE-GGA optimized geometry; volume = 17.482 Å³ per atom; M_tot = 0.00 Bohr magnetons per cell
1.0
0.0000 3.2700 3.2700
3.2700 0.0000 3.2700
3.2700 3.2700 0.0000
Nb Pd Ta
2 1 1
direct
0.2500 0.2500 0.2500
0.7500 0.7500 0.7500
0.0000 0.0000 0.0000
0.5000 0.5000 0.5000

=====

The most stable arrangement is arrangement R, and the next structure is 9.3 kJ/mol of atoms less stable.

=====

Arrangement P

TaNbPd4 PBE-GGA optimized geometry; volume = 18.871 Å³ per atom; M_tot = 0.00 Bohr magnetons per cell
1.0
-1.4994 2.6013 4.4991
-4.6016 -2.8428 -0.0374
3.3596 -5.4947 4.2966
Ta Nb Pd
2 2 8
direct
0.0001 0.0001 0.7500
0.9999 0.9999 0.2500
0.5002 0.5002 0.7500
0.4998 0.4998 0.2500
0.4996 0.9996 0.2500
0.5004 0.0004 0.7500
0.9996 0.4996 0.2500
0.0004 0.5004 0.7500
0.7584 0.7584 0.5000
0.2416 0.2416 0.0000
0.7584 0.7584 0.0000
0.2416 0.2416 0.5000

=====

Arrangement Q

TaNbPd4 PBE-GGA optimized geometry; volume = 15.962 Å³ per atom; M_tot = 0.00 Bohr magnetons per cell
1.0
-3.5341 0.1678 1.6746
0.5259 -2.4882 1.3592
3.3037 4.2728 6.5441
Ta Nb Pd
1 1 4
direct
0.0000 0.0000 0.0000
0.5000 0.5000 0.5000
0.0000 0.9999 0.6663
0.5000 0.4999 0.8357
0.5000 0.5001 0.1643
0.0000 0.0001 0.3337

=====

The most stable arrangement is arrangement Q, and the next structure is 66.3 kJ/mol of atoms less stable.

=====

Arrangement P

TaTiNbPd PBE-GGA optimized geometry; volume = 16.816 Å³ per atom; M_tot = 0.00 Bohr magnetons per cell
1.0
4.5649 0.0000 0.0000
2.2825 3.9534 0.0000
2.2825 1.3178 3.7273
Nb Ti Pd Ta
1 1 1 1
direct
0.5000 0.5000 0.5000
0.2500 0.2500 0.2500
0.0000 0.0000 0.0000
0.7500 0.7500 0.7500

=====

Arrangement Q

TaTiNbPd PBE-GGA optimized geometry; volume = 18.884 Å³ per atom; M_tot = 0.00 Bohr magnetons per cell
1.0
-1.5157 0.3976 -2.7939
0.2277 -3.1438 -0.5709
-5.8202 0.2959 5.0360
Ta Ti Nb Pd
1 1 1 1
direct
0.3397 0.3397 0.6794
0.5621 0.5621 0.1242
0.9479 0.9479 0.8959
0.1624 0.1624 0.3248

=====

The most stable arrangement is arrangement P, and the next structure is 27.5 kJ/mol of atoms less stable.

=====

Arrangement P

NbTcPd2 PBE-GGA optimized geometry; volume = 15.725 Å³ per atom; M_tot = 0.00 Bohr magnetons per cell
1.0
5.4041 0.0002 -0.0011
-2.4920 4.8045 0.0000
-1.5565 -2.2889 4.8458
Nb Tc Pd
2 2 4
direct
0.7836 0.5409 0.1845
0.8853 0.0786 0.8350
0.3154 0.0412 0.7135
0.2937 0.0288 0.1758
0.3580 0.6053 0.3409
0.7799 0.5142 0.6721
0.8762 0.1082 0.3440
0.3664 0.6068 0.8475

=====

Arrangement Q

NbTcPd2 PBE-GGA optimized geometry; volume = 16.812 Å³ per atom; M_tot = 0.00 Bohr magnetons per cell
1.0
-1.2499 2.7104 -2.2945
-1.3788 -2.6120 -2.3344
-9.5631 0.2137 2.3733
Nb Tc Pd
2 2 4
direct
0.5000 0.5000 0.0000
0.2500 0.7500 0.5000
0.0000 0.0000 0.0000
0.7500 0.2500 0.5000
0.6292 0.1250 0.2500
0.1208 0.6250 0.2500
0.3750 0.3708 0.7500
0.8750 0.8792 0.7500

=====

Arrangement R

NbTcPd2 PBE-GGA optimized geometry; volume = 15.603 Å³ per atom; M_tot = 0.00 Bohr magnetons per cell
1.0
-2.1302 -3.9785 0.6160
2.3220 -0.4583 5.0699
-7.6451 4.7012 3.9263
Nb Tc Pd
4 4 8
direct
0.5000 0.0000 0.1888
0.5000 0.5000 0.6888
0.0000 0.0000 0.8447
0.0000 0.5000 0.3447
0.5000 0.7626 0.9311
0.5000 0.2374 0.9311
0.5000 0.2626 0.4311
0.5000 0.7374 0.4311
0.0000 0.7479 0.5961
0.0000 0.2521 0.5961
0.0000 0.2479 0.0961
0.0000 0.7521 0.0961
0.5000 0.0000 0.6715
0.5000 0.5000 0.1715
0.0000 0.0000 0.3537
0.0000 0.5000 0.8537

=====

The most stable arrangement is arrangement R, and the next structure is 4.6 kJ/mol of atoms less stable.

=====

Arrangement P

NbTcPd2 PBE-GGA optimized geometry; volume = 15.771 Å³ per atom; M_tot = 0.00 Bohr magnetons per cell
1.0
-2.4084 -4.1623 -0.3672
0.7027 0.2377 4.8418
-4.7403 2.9520 -1.1092
Nb Tc Pd
2 2 4
direct
0.8483 0.2267 0.2895
0.1517 0.7733 0.7105
0.6178 0.7347 0.9504
0.3822 0.2653 0.0496
0.3646 0.2523 0.5541
0.6354 0.7477 0.4459
0.1261 0.7475 0.1936
0.8739 0.2525 0.8064

=====

Arrangement Q

NbTcPd2 PBE-GGA optimized geometry; volume = 15.549 Å³ per atom; M_tot = 0.28 Bohr magnetons per cell
1.0
3.8888 0.0000 0.0000
0.0000 3.8888 0.0000
0.0000 0.0000 4.1126
Nb Tc Pd
1 1 2
direct
0.5000 0.5000 0.0000
0.0000 0.0000 0.0000
0.0000 0.5000 0.5000
0.5000 0.0000 0.5000

=====

The most stable arrangement is arrangement Q, and the next structure is 3.3 kJ/mol of atoms less stable.